An optimized crystal structure of SnSeIN2, computed with PBE.

abc: 4.064 4.064 8.128
angles: 90.00 90.00 90.00
Space group P4/mmm (No. 123)
Asymmetric unit:
Sn 0.000 0.000 0.000 [1 per cell]
Se 0.500 0.500 0.500 [1 per cell]
I 0.000 0.000 0.500 [1 per cell]
N 0.000 0.500 0.000 [2 per cell]

Summary:
Excess energy over the best structure of this formula in the dataset (eV per formula unit): 0.60
Formation energy (no corrections) (meV/atom): 1393.1

***

An optimized crystal structure of SnSeIN2, computed with PBE.

abc: 4.185 4.185 6.751
angles: 90.00 90.00 90.00
Space group P4/mmm (No. 123)
Asymmetric unit:
Sn 0.000 0.000 0.000 [1 per cell]
Se 0.500 0.500 0.500 [1 per cell]
I 0.500 0.500 0.000 [1 per cell]
N 0.000 0.500 0.500 [2 per cell]

Summary:
Excess energy over the best structure of this formula in the dataset (eV per formula unit): 1.77
Formation energy (no corrections) (meV/atom): 1627.3

***

| no. | E (eV/atom) | total magnetization (Bohr magnetons per cell) |
| --- | --- | --- |
| 1 | -3.74 | 0.00 |
| 2 | -3.51 | 1.65 |